No. 1
A plane-wave DFT calculation with SCAN was carried out for a PBEsol-optimized structure of LaYFe4.

```
6
Lattice="0.000 3.606 3.606 3.606 0.000 3.606 3.606 3.606 0.000" Properties=species:S:1:pos:R:3 pbc="T T T"
La 0.000 0.000 0.000
Y 1.803 1.803 1.803
Fe 4.505 2.706 2.706
Fe 2.706 4.505 2.706
Fe 2.706 2.706 4.505
Fe 4.505 4.505 4.505
```

SG	F-43m
magnetization	8.05	μB per formula unit
formation energy from the elements	0.091	eV/atom
crystal system	cubic



No. 2
A plane-wave DFT calculation with SCAN was carried out for a PBEsol-optimized structure of La3YFe.

```
5
Lattice="5.309 0.000 0.000 0.000 5.309 0.000 0.000 0.000 5.309" Properties=species:S:1:pos:R:3 pbc="T T T"
La 0.000 0.000 2.655
La 0.000 2.655 0.000
La 2.655 0.000 0.000
Y 2.655 2.655 2.655
Fe 0.000 0.000 0.000
```

SG	Pm-3m
magnetization	0.00	μB per formula unit
formation energy from the elements	0.213	eV/atom
crystal system	cubic



No. 3
A plane-wave DFT calculation with SCAN was carried out for a PBEsol-optimized structure of La2YFe.

```
4
Lattice="3.454 0.000 0.000 0.000 3.450 0.000 -0.522 0.000 8.836" Properties=species:S:1:pos:R:3 pbc="T T T"
La 0.000 0.000 0.000
La 1.283 1.725 6.044
Y 1.735 1.725 2.808
Fe -0.070 0.000 4.403
```

SG	Pm
magnetization	1.61	μB per formula unit
formation energy from the elements	0.157	eV/atom
crystal system	monoclinic



No. 4
A plane-wave DFT calculation with SCAN was carried out for a PBEsol-optimized structure of LaZnFe.

```
6
Lattice="3.305 0.000 0.000 0.000 3.305 0.000 0.000 0.000 10.443" Properties=species:S:1:pos:R:3 pbc="T T T"
La 0.000 0.000 0.000
La 1.653 1.653 5.222
Zn 0.000 0.000 7.464
Zn 1.653 1.653 2.242
Fe 0.000 0.000 3.186
Fe 1.653 1.653 8.407
```

SG	I4mm
magnetization	1.87	μB per formula unit
formation energy from the elements	0.106	eV/atom
crystal system	tetragonal